(1)
A relaxed structure of Be4CrPb. Source: Alexandria via LeMat-Bulk, functional PBE-GGA.

Results
symmetry	F-43m

Unit cell a=4.6552 b=4.6552 c=4.6552 alpha=60.00 beta=60.00 gamma=60.00
Last column: nearest neighbours and their distance in Å.
Positions (direct):
Be  0.1206  0.1206  0.1206  6 Be 2.25-2.41
Be  0.1206  0.1206  0.6382  6 Be 2.25-2.41
Be  0.1206  0.6382  0.1206  6 Be 2.25-2.41
Be  0.6382  0.1206  0.1206  6 Be 2.25-2.41
Cr  0.7500  0.7500  0.7500  12 Be 2.72, 4 Pb 2.85
Pb  0.5000  0.5000  0.5000  12 Be 2.74, 4 Cr 2.85

(2)
A relaxed structure of BeCrPb2. Source: Alexandria via LeMat-Bulk, functional PBE-GGA.

Results
symmetry	F-43m

Unit cell a=5.0673 b=5.0673 c=5.0673 alpha=60.00 beta=60.00 gamma=60.00
Last column: nearest neighbours and their distance in Å.
Positions (direct):
Be  0.0000  0.0000  0.0000  4 Cr 3.10, 4 Pb 3.10
Cr  0.2500  0.2500  0.2500  4 Pb 3.10, 4 Be 3.10
Pb  0.5000  0.5000  0.5000  4 Cr 3.10, 4 Pb 3.10
Pb  0.7500  0.7500  0.7500  4 Pb 3.10, 4 Be 3.10

(3)
A relaxed structure of Be2CrPb. Source: Alexandria via LeMat-Bulk, functional PBE-GGA.

Results
symmetry	C2/m

Unit cell a=4.4479 b=4.4479 c=4.2729 alpha=98.31 beta=98.31 gamma=48.12
Last column: nearest neighbours and their distance in Å.
Positions (direct):
Be  0.2089  0.2089  0.0690  2 Be 2.05
Be  0.7911  0.7911  0.9310  2 Be 2.05
Cr  0.5000  0.5000  0.0000  6 Be 2.43-2.47
Pb  0.0000  0.0000  0.5000  4 Be 2.69-2.74, 4 Cr 2.80

(4)
A relaxed structure of BeCrRe2Pb. Source: Alexandria via LeMat-Bulk, functional PBE-GGA.

Results
symmetry	P4/mmm

Unit cell a=4.2718 b=4.2718 c=4.1615 alpha=90.00 beta=90.00 gamma=90.00
Last column: nearest neighbours and their distance in Å.
Positions (direct):
Be  0.0000  0.0000  0.0000  2 Cr 2.08, 4 Re 2.14
Cr  0.0000  0.0000  0.5000  2 Be 2.08
Re  0.0000  0.5000  0.0000  2 Be 2.14
Re  0.5000  0.0000  0.0000  2 Be 2.14
Pb  0.5000  0.5000  0.5000  8 Re 2.98, 4 Cr 3.02

Number 1: energy relative to the elements 0.41 eV per atom. Number 2: energy relative to the elements 0.86 eV per atom. Number 3: energy relative to the elements 0.58 eV per atom. Number 4: energy relative to the elements 1.02 eV per atom.